Below is a geometry-optimized Ca3Hg12Bi structure, with properties calculated at the PBE-GGA level.

POSCAR file:
```
Ca3Hg12Bi
1.0
4.695 0.000 0.000
0.000 4.695 0.000
0.000 0.000 18.962
Ca Hg Bi
3 12 1
Direct
0.000 0.000 0.000
0.000 0.000 0.252
0.000 0.000 0.748
0.000 0.500 0.123
0.000 0.500 0.371
0.000 0.500 0.629
0.000 0.500 0.877
0.500 0.000 0.123
0.500 0.000 0.371
0.500 0.000 0.629
0.500 0.000 0.877
0.500 0.500 0.000
0.500 0.500 0.244
0.500 0.500 0.500
0.500 0.500 0.756
0.000 0.000 0.500
```

- crystal system = tetragonal
- calculated total energy (eV per cell) = -17.93
- density of states at the Fermi level (states/eV/atom) = 0.345
- DFT formation energy (eV per atom) = -0.2764